Record 1
Density functional theory data (PBE) for a geometry-optimized TmBRh structure.

The structure in POSCAR format:
```
TmBRh
1.0
2.979 0.202 0.000
-0.202 2.979 0.000
-1.389 -1.590 4.903
Tm Rh B
1 1 1
Cartesian
1.389 1.592 4.813 Tm
1.389 1.591 2.060 Rh
0.000 0.000 2.935 B
```

**ΔE_f**: -0.304 eV/atom
**Excess energy over the best structure of this formula in the dataset**: 0.3032 eV per atom

---

Record 2
Density functional theory data (PBE) for a geometry-optimized U3Ge5Rh6 structure.

The structure in POSCAR format:
```
U3Ge5Rh6
1.0
4.031 0.000 0.000
0.000 9.388 0.000
0.000 0.000 12.887
U Ge Rh
6 10 12
Cartesian
0.000 2.298 8.714 U
2.016 7.091 2.270 U
2.016 7.091 10.617 U
0.000 2.417 0.000 U
2.016 6.971 6.444 U
0.000 2.298 4.174 U
0.000 5.042 11.406 Ge
0.000 8.015 8.497 Ge
0.000 7.665 0.000 Ge
2.016 4.347 7.925 Ge
2.016 1.723 6.444 Ge
0.000 5.042 1.481 Ge
2.016 4.347 4.963 Ge
0.000 8.015 4.391 Ge
2.016 1.373 10.835 Ge
2.016 1.373 2.053 Ge
0.000 9.303 10.745 Rh
2.016 0.085 8.586 Rh
2.016 3.771 10.332 Rh
2.016 4.665 0.000 Rh
0.000 4.723 6.444 Rh
0.000 5.618 8.999 Rh
0.000 5.618 3.888 Rh
2.016 9.264 0.000 Rh
0.000 9.303 2.143 Rh
2.016 3.771 2.556 Rh
0.000 0.124 6.444 Rh
2.016 0.085 4.301 Rh
```

**ΔE_f**: -0.573 eV/atom

---

Record 3
Density functional theory data (PBE) for a geometry-optimized TbCuB structure.

The structure in POSCAR format:
```
TbCuB
1.0
-0.318 0.245 3.142
-3.529 -0.624 -0.309
-0.415 -8.323 0.607
Tb B Cu
2 2 2
Cartesian
-0.769 -6.633 1.237 Tb
-3.493 -2.069 2.202 Tb
-1.796 -0.534 0.658 B
-2.466 -8.168 2.782 B
-3.012 -4.928 2.474 Cu
-1.251 -3.774 0.966 Cu
```

**ΔE_f**: -0.306 eV/atom

---

Record 4
Density functional theory data (PBE) for a geometry-optimized MnTcPd2 structure.

The structure in POSCAR format:
```
MnTcPd2
1.0
0.386 -3.796 2.047
1.518 -0.129 4.054
-2.658 -0.973 3.278
Mn Tc Pd
1 1 2
Cartesian
0.000 0.000 0.000 Mn
-0.377 -2.449 4.689 Tc
-0.188 -1.225 2.345 Pd
-0.565 -3.674 7.034 Pd
```

**ΔE_f**: 0.569 eV/atom
**Excess energy over the best structure of this formula in the dataset**: 0.0000 eV per atom

---

Record 5
Density functional theory data (PBE) for a geometry-optimized LaCuAu3 structure.

The structure in POSCAR format:
```
LaCuAu3
1.0
-1.336 2.628 -3.879
1.441 -3.608 -2.940
-4.458 -1.954 0.212
Au Cu La
3 1 1
Cartesian
0.721 -1.804 -1.470 Au
-2.229 -0.977 0.106 Au
-0.668 1.314 -1.940 Au
0.000 0.000 0.000 Cu
-2.177 -1.467 -3.304 La
```

**ΔE_f**: -0.277 eV/atom
**Excess energy over the best structure of this formula in the dataset**: 0.1922 eV per atom

---

Record 6
Density functional theory data (PBE) for a geometry-optimized Lu2NbNi structure.

The structure in POSCAR format:
```
Lu2NbNi
1.0
-2.895 1.290 -0.483
-2.405 -0.658 2.016
0.737 7.888 6.002
Ni Nb Lu
1 1 2
Cartesian
-2.282 4.260 3.767 Ni
0.000 0.000 0.000 Nb
-0.017 5.577 4.349 Lu
-4.546 2.943 3.185 Lu
```

**ΔE_f**: 0.389 eV/atom
**Excess energy over the best structure of this formula in the dataset**: 0.4799 eV per atom

---

Record 7
Density functional theory data (PBE) for a geometry-optimized Li2YCo structure.

The structure in POSCAR format:
```
Li2YCo
1.0
3.784 0.000 0.000
0.000 3.820 0.000
0.000 0.000 5.046
Co Li Y
1 2 1
Cartesian
0.000 1.910 2.523 Co
0.000 0.000 0.000 Li
1.892 1.910 0.000 Li
1.892 0.000 2.523 Y
```

**ΔE_f**: 0.139 eV/atom
**Excess energy over the best structure of this formula in the dataset**: 0.0471 eV per atom

---

Record 8
Density functional theory data (PBE) for a geometry-optimized K3Tb3SiS8 structure.

The structure in POSCAR format:
```
K3Tb3SiS8
1.0
7.861 0.000 0.000
-3.930 6.808 -0.029
0.000 -4.508 7.535
K Tb Si S
3 3 1 8
Cartesian
0.000 0.000 0.000 K
-1.965 3.404 -0.014 K
1.965 3.404 -0.014 K
3.930 -2.254 3.768 Tb
1.965 1.150 3.753 Tb
-1.965 1.150 3.753 Tb
0.000 -2.254 3.768 Si
0.000 2.277 2.224 S
3.930 0.022 5.282 S
3.930 2.567 2.383 S
0.000 -0.267 5.123 S
6.145 -1.269 2.393 S
-2.214 3.568 5.114 S
1.716 -1.269 2.393 S
2.214 3.568 5.114 S
```

**Energy relative to the elements, uncorrected**: -1.54 eV/atom